The following is a PBE-GGA calculation of a relaxed structure of DyPu2Tc2C4, from Alexandria.

Theoretical density = 12.0 g/cm³
Magnetization = 1.04 μB per atom
Final energy = -10.080 eV per atom
Crystal system = monoclinic
Formation energy from the elements = 0.019 eV per atom

The structure in POSCAR format:
```
DyPu2Tc2C4
1.0
7.251 -1.609 0.000
7.251 1.609 0.000
-2.056 0.000 5.307
Dy Pu Tc C
1 2 2 4
Cartesian
0.000 0.000 0.000 Dy
0.962 0.000 2.710 Pu
11.484 0.000 2.596 Pu
4.712 0.000 0.057 Tc
7.735 0.000 5.250 Tc
2.927 0.000 1.249 C
6.223 0.000 1.931 C
6.224 0.000 3.376 C
9.520 0.000 4.058 C
```